Record 1
Below is a geometry-optimized NdV2Os structure, with properties calculated at the PBE level.

Calculated values
Total magnetic moment: 0.001 μB/atom
Total DFT energy (no corrections): -100.875 eV for the cell shown

Lattice parameters (Å, degrees): 4.1966 4.1966 16.2123 90.00 90.00 120.00
Last column: nearest neighbours and their distance in Å.
Space group R-3m (No. 166, hexagonal axes)
Symmetry-distinct sites (fractional):
Nd: 0.0000 0.0000 0.0000  8 V 3.24-3.25
V: 0.0000 0.0000 0.1996  3 Os 2.48, 3 V 2.65
Os: 0.0000 0.0000 0.5000  6 V 2.48


Record 2
Below is a geometry-optimized Nd2YOs structure, with properties calculated at the PBE level.

Calculated values
Total magnetic moment: 0.001 μB/atom
ΔE to the lowest computed polymorph: 528 meV per atom

Lattice parameters (Å, degrees): 3.6008 3.6008 32.7654 90.00 90.00 120.00
Last column: nearest neighbours and their distance in Å.
Space group R-3m (No. 166, hexagonal axes)
Symmetry-distinct sites (fractional):
Nd: 0.0000 0.0000 0.1061  3 Os 2.87
Y: 0.0000 0.0000 0.0000  2 Nd 3.48, 6 Y 3.60
Os: 0.0000 0.0000 0.5000  6 Nd 2.87


Record 3
Below is a geometry-optimized Nd2YOs structure, with properties calculated at the PBE level.

Calculated values
Total magnetic moment: 0.000 μB/atom
ΔE to the lowest computed polymorph: 0 meV per atom

Lattice parameters (Å, degrees): 7.4888 9.5060 6.4463 90.00 90.00 90.00
Last column: nearest neighbours and their distance in Å.
Space group Pnma (No. 62)
Symmetry-distinct sites (fractional):
Nd: 0.1755 0.0642 0.1696  2 Os 2.93-3.01
Y: 0.0422 0.2500 0.6391  2 Os 2.81-2.85
Os: 0.1159 0.7500 0.9596  2 Y 2.81-2.85, 4 Nd 2.93-3.01


Record 4
Below is a geometry-optimized Nd2YOs structure, with properties calculated at the PBE level.

Calculated values
Total magnetic moment: 0.000 μB/atom
ΔE to the lowest computed polymorph: 17 meV per atom

Lattice parameters (Å, degrees): 4.1103 12.0663 9.2331 90.00 90.00 90.00
Last column: nearest neighbours and their distance in Å.
Space group Cmcm (No. 63)
Symmetry-distinct sites (fractional):
Nd: 0.0000 0.1423 0.0669  3 Os 3.02-3.15, 1 Nd 3.38
Y: 0.0000 0.4219 0.2500  2 Os 2.83
Os: 0.0000 0.2395 0.7500  2 Y 2.83, 6 Nd 3.02-3.15


Record 5
Below is a geometry-optimized NdYZnOs structure, with properties calculated at the PBE level.

Calculated values
Total magnetic moment: 0.000 μB/atom
Total DFT energy (no corrections): -97.729 eV for the cell shown

Lattice parameters (Å, degrees): 7.0749 7.0749 7.0749 90.00 90.00 90.00
Last column: nearest neighbours and their distance in Å.
Space group F-43m (No. 216)
Symmetry-distinct sites (fractional):
Nd: 0.0000 0.0000 0.0000  4 Os 3.06, 4 Zn 3.06
Y: 0.0000 0.0000 0.5000  4 Zn 3.06, 4 Os 3.06
Zn: 0.2500 0.2500 0.7500  4 Nd 3.06, 4 Y 3.06
Os: 0.2500 0.2500 0.2500  4 Y 3.06, 4 Nd 3.06


Record 6
Below is a geometry-optimized NdZn4Os structure, with properties calculated at the PBE level.

Calculated values
Total magnetic moment: 0.000 μB/atom
Total DFT energy (no corrections): -86.857 eV for the cell shown

Lattice parameters (Å, degrees): 7.3402 7.3402 7.3402 90.00 90.00 90.00
Last column: nearest neighbours and their distance in Å.
Space group F-43m (No. 216)
Symmetry-distinct sites (fractional):
Nd: 0.0000 0.0000 0.0000  12 Zn 3.05, 4 Os 3.18
Zn: 0.1232 0.1232 0.3768  6 Zn 2.56-2.63
Os: 0.2500 0.2500 0.7500  12 Zn 3.04, 4 Nd 3.18


Record 7
Below is a geometry-optimized Nd4ZnOs structure, with properties calculated at the PBE level.

Calculated values
Total magnetic moment: 0.000 μB/atom
ΔE to the lowest computed polymorph: 16 meV per atom

Lattice parameters (Å, degrees): 8.9703 13.6379 6.2663 90.00 115.89 90.00
Last column: nearest neighbours and their distance in Å.
Space group C2/c (No. 15)
Symmetry-distinct sites (fractional):
Nd: 0.1153 0.1770 0.0744  2 Os 3.02-3.03, 2 Zn 3.21-3.27
Nd: 0.2146 0.4294 0.3283  2 Os 2.93-2.97, 1 Zn 3.19
Zn: 0.0000 0.3758 0.7500  8 Nd 3.19-3.36
Os: 0.0000 0.0000 0.2500  8 Nd 2.93-3.03, 2 Os 3.13


Record 8
Below is a geometry-optimized Nd12Zn6Os structure, with properties calculated at the PBE level.

Calculated values
Total magnetic moment: 0.000 μB/atom
Total DFT energy (no corrections): -232.565 eV for the cell shown

Lattice parameters (Å, degrees): 12.0401 12.0401 13.4319 90.00 90.00 120.00
Last column: nearest neighbours and their distance in Å.
Space group R-3 (No. 148, hexagonal axes)
Symmetry-distinct sites (fractional):
Nd: 0.0388 0.1969 0.3735  1 Os 2.76
Nd: 0.0414 0.8462 0.8909  4 Zn 3.08-3.30
Zn: 0.0031 0.5987 0.7585  8 Nd 3.08-3.32
Os: 0.0000 0.0000 0.5000  6 Nd 2.76